# 1
First-principles (GGA-PBE) data for a relaxed K2YRu crystal, as listed in the Alexandria database.

abc: 4.950 4.950 10.265
angles: 77.83 77.83 41.88
Sites, in units of the cell vectors:
K (0.848, 0.848, 0.675)
Y (0.183, 0.183, 0.375)
Ru (0.470, 0.470, 0.375)
K (0.999, 0.999, 0.075)

Summary:
- Formation energy from the elements: 447 meV per atom
- Volume: 40.90 A^3/atom
- Raw total energy: -0.148 Ha/atom
- Space group: Cm, No. 8
- Energy above the lowest structure with this stoichiometry: 131 meV per atom

=====

# 2
First-principles (GGA-PBE) data for a relaxed Cu2MoAu crystal, as listed in the Alexandria database.

abc: 4.609 4.609 5.037
angles: 82.59 82.59 33.89
Site moments in Bohr magnetons follow the coordinates.
Sites, in units of the cell vectors:
Cu (0.502, 0.502, 0.482)  0.03
Mo (0.250, 0.250, 0.250)  0.35
Au (0.750, 0.750, 0.750)  0.02
Cu (0.998, 0.998, 0.018)  0.03

Summary:
- Formation energy from the elements: 263 meV per atom
- Volume: 14.78 A^3/atom
- Raw total energy: -0.195 Ha/atom
- Space group: C2/m, No. 12
- Energy above the lowest structure with this stoichiometry: 126 meV per atom

=====

# 3
First-principles (GGA-PBE) data for a relaxed KAlTc2 crystal, as listed in the Alexandria database.

abc: 5.347 5.347 5.347
angles: 136.50 136.50 63.20
Sites, in units of the cell vectors:
Al (0.250, 0.750, 0.500)
K (0.750, 0.250, 0.500)
Tc (0.000, 0.000, 0.000)
Tc (0.500, 0.500, 0.000)

Summary:
- Formation energy from the elements: 1308 meV per atom
- Volume: 17.87 A^3/atom
- Raw total energy: -0.187 Ha/atom
- Space group: I4/mmm, No. 139

=====

# 4
First-principles (GGA-PBE) data for a relaxed CaSc2P crystal, as listed in the Alexandria database.

abc: 6.072 6.072 6.128
angles: 56.51 56.51 33.71
Sites, in units of the cell vectors:
Sc (0.730, 0.730, 0.822)
P (0.291, 0.291, 0.046)
Sc (0.922, 0.922, 0.136)
Ca (0.557, 0.557, 0.496)

Summary:
- Formation energy from the elements: -513 meV per atom
- Volume: 25.61 A^3/atom
- Raw total energy: -0.203 Ha/atom
- Space group: Cm, No. 8

=====

# 5
First-principles (GGA-PBE) data for a relaxed Ac4HgRhI2 crystal, as listed in the Alexandria database.

abc: 4.420 8.146 9.041
angles: 106.84 90.00 90.00
Sites, in units of the cell vectors:
I (0.500, 0.000, 0.500)
Ac (0.000, 0.718, 0.188)
Rh (0.500, 0.500, 0.000)
Ac (0.500, 0.727, 0.803)
Ac (0.000, 0.282, 0.812)
I (0.000, 0.500, 0.500)
Ac (0.500, 0.273, 0.197)
Hg (0.000, 0.000, 0.000)

Summary:
- Volume: 38.94 A^3/atom
- Raw total energy: -0.156 Ha/atom
- Formation energy without anion corrections: -6.79 eV/f.u.
- Space group: P2/m, No. 10

=====

# 6
First-principles (GGA-PBE) data for a relaxed Cs3Sn2I3Cl4 crystal, as listed in the Alexandria database.

abc: 5.705 6.282 15.708
angles: 101.54 100.46 90.00
Sites, in units of the cell vectors:
I (0.027, 0.000, 0.000)
Cs (0.689, 0.687, 0.374)
Cs (0.315, 0.313, 0.626)
Cl (0.200, 0.200, 0.400)
Cl (0.596, 0.117, 0.234)
Sn (0.127, 0.111, 0.221)
Cl (0.799, 0.800, 0.600)
Cs (0.504, 0.500, 0.000)
I (0.901, 0.400, 0.800)
Sn (0.906, 0.889, 0.779)
I (0.102, 0.600, 0.200)
Cl (0.362, 0.883, 0.766)

Summary:
- Volume: 45.17 A^3/atom
- Raw total energy: -0.117 Ha/atom
- Formation energy without anion corrections: -15.70 eV/f.u.
- Space group: Imm2, No. 44

=====

# 7
First-principles (GGA-PBE) data for a relaxed TbDy3Sn2 crystal, as listed in the Alexandria database.

abc: 4.536 10.331 9.557
angles: 124.83 90.00 102.68
Site moments in Bohr magnetons follow the coordinates.
Sites, in units of the cell vectors:
Dy (0.692, 0.383, 0.493)  0.14
Tb (0.886, 0.772, 0.897)  0.01
Dy (0.308, 0.617, 0.507)  0.14
Dy (0.352, 0.705, 0.188)  0.09
Tb (0.114, 0.228, 0.103)  0.01
Dy (0.055, 0.109, 0.420)  0.17
Sn (0.493, 0.987, 0.839)  0.00
Sn (0.754, 0.509, 0.227)  0.00
Dy (0.945, 0.891, 0.580)  0.17
Dy (0.648, 0.295, 0.812)  0.09
Sn (0.507, 0.013, 0.161)  0.00
Sn (0.246, 0.491, 0.773)  0.00

Summary:
- Formation energy from the elements: -495 meV per atom
- Volume: 29.52 A^3/atom
- Raw total energy: -0.180 Ha/atom
- Space group: C2/m, No. 12

=====

# 8
First-principles (GGA-PBE) data for a relaxed Ba6PSe3Cl2 crystal, as listed in the Alexandria database.

abc: 8.105 8.105 8.068
angles: 99.63 99.63 119.97
Sites, in units of the cell vectors:
Se (0.170, 0.830, 0.500)
Ba (0.234, 0.234, 0.749)
Ba (0.402, 0.084, 0.252)
Cl (0.334, 0.666, 0.000)
Se (0.500, 0.500, 0.500)
Se (0.830, 0.170, 0.500)
Ba (0.598, 0.916, 0.748)
Ba (0.084, 0.402, 0.252)
Ba (0.916, 0.598, 0.748)
Ba (0.766, 0.766, 0.251)
P (0.000, 0.000, 0.000)
Cl (0.666, 0.334, 0.000)

Summary:
- Volume: 36.06 A^3/atom
- Raw total energy: -0.165 Ha/atom
- Formation energy without anion corrections: -22.77 eV/f.u.
- Space group: C2/m, No. 12

=====

# 9
First-principles (GGA-PBE) data for a relaxed AlInTc2 crystal, as listed in the Alexandria database.

abc: 4.473 4.473 4.473
angles: 60.00 60.00 60.00
Sites, in units of the cell vectors:
Tc (0.250, 0.250, 0.250)
Al (0.000, 0.000, 0.000)
Tc (0.750, 0.750, 0.750)
In (0.500, 0.500, 0.500)

Summary:
- Formation energy from the elements: 144 meV per atom
- Volume: 15.82 A^3/atom
- Raw total energy: -0.245 Ha/atom
- Space group: Fm-3m, No. 225
- Energy above the lowest structure with this stoichiometry: 201 meV per atom

=====

# 10
First-principles (GGA-PBE) data for a relaxed Er2ThC2 crystal, as listed in the Alexandria database.

abc: 3.653 3.653 9.650
angles: 79.09 79.09 60.00
Sites, in units of the cell vectors:
Th (0.000, 0.000, 0.000)
Er (0.768, 0.768, 0.695)
C (0.607, 0.607, 0.178)
Er (0.232, 0.232, 0.305)
C (0.393, 0.393, 0.822)

Summary:
- Formation energy from the elements: -284 meV per atom
- Volume: 21.77 A^3/atom
- Raw total energy: -0.268 Ha/atom
- Space group: R-3m, No. 166

=====

# 11
First-principles (GGA-PBE) data for a relaxed Ga2PdPt2 crystal, as listed in the Alexandria database.

abc: 4.423 4.423 5.141
angles: 102.30 102.30 56.64
Sites, in units of the cell vectors:
Pt (0.801, 0.301, 0.691)
Ga (0.135, 0.635, 0.780)
Pd (0.500, 0.000, 0.000)
Ga (0.865, 0.365, 0.220)
Pt (0.199, 0.699, 0.309)

Summary:
- Formation energy from the elements: -595 meV per atom
- Volume: 16.30 A^3/atom
- Raw total energy: -0.193 Ha/atom
- Space group: C2/m, No. 12
- Energy above the lowest structure with this stoichiometry: 0 meV per atom

=====

# 12
First-principles (GGA-PBE) data for a relaxed MgOs2Pb crystal, as listed in the Alexandria database.

abc: 4.832 4.832 5.315
angles: 83.44 83.44 35.54
Sites, in units of the cell vectors:
Os (0.986, 0.986, 0.052)
Mg (0.250, 0.250, 0.250)
Pb (0.750, 0.750, 0.750)
Os (0.514, 0.514, 0.448)

Summary:
- Formation energy from the elements: 642 meV per atom
- Volume: 17.90 A^3/atom
- Raw total energy: -0.231 Ha/atom
- Space group: C2/m, No. 12